# Nd5CuS4 PBE optimized geometry
# uncorrected formation energy	-1.638	eV/atom
# space group	C2/m
# V	24.24	Å³/atom
# calculated total energy	-60.82	eV/f.u.
data_Nd5CuS4
_cell_length_a 4.0602
_cell_length_b 7.1390
_cell_length_c 9.1394
_cell_angle_alpha 75.25
_cell_angle_beta 77.17
_cell_angle_gamma 73.48
_space_group_name_H-M_alt 'P 1'
_space_group_IT_number 1
loop_
_space_group_symop_operation_xyz
'x,y,z'
loop_
_atom_site_label
_atom_site_fract_x
_atom_site_fract_y
_atom_site_fract_z
Cu1 0.0000 0.0000 0.0000
Nd1 0.3970 0.3088 0.8973
Nd2 0.6030 0.6912 0.1027
Nd3 0.7992 0.0993 0.3024
S1 0.6001 0.2018 0.5980
S2 0.3999 0.7982 0.4020
Nd4 0.0000 0.5000 0.5000
Nd5 0.2008 0.9007 0.6976
S3 0.2011 0.3961 0.2016
S4 0.7989 0.6039 0.7984

---

# Dy3Si5S12 PBE optimized geometry
# uncorrected formation energy	-0.958	eV/atom
# space group	Ia-3d
# V	20.72	Å³/atom
# calculated total energy	-109.61	eV/f.u.
data_Dy3Si5S12
_cell_length_a 12.9138
_cell_length_b 12.9138
_cell_length_c 12.9138
_cell_angle_alpha 109.47
_cell_angle_beta 109.47
_cell_angle_gamma 109.47
_space_group_name_H-M_alt 'P 1'
_space_group_IT_number 1
loop_
_space_group_symop_operation_xyz
'x,y,z'
loop_
_atom_site_label
_atom_site_fract_x
_atom_site_fract_y
_atom_site_fract_z
S1 0.9029 0.0892 0.8757
S2 0.5892 0.7135 0.6863
Si1 0.2500 0.3750 0.6250
Si2 0.6250 0.8750 0.2500
Si3 0.8750 0.2500 0.6250
S3 0.0971 0.9108 0.1243
Si4 0.2500 0.8750 0.1250
Si5 0.6250 0.7500 0.8750
S4 0.6243 0.5971 0.9108
S5 0.1243 0.4108 0.0971
S6 0.7865 0.4728 0.3757
S7 0.7135 0.1243 0.0272
S8 0.6863 0.2135 0.5892
Si6 0.3750 0.1250 0.7500
Si7 0.0000 0.5000 0.0000
S9 0.0272 0.6243 0.7135
S10 0.1243 0.7135 0.5272
S11 0.4728 0.7865 0.8757
S12 0.0892 0.1863 0.2135
Dy1 0.3750 0.6250 0.2500
S13 0.5971 0.6243 0.4108
S14 0.6243 0.0272 0.2135
Si8 0.5000 0.0000 0.0000
S15 0.4029 0.0272 0.3137
Si9 0.3750 0.2500 0.1250
S16 0.6863 0.4728 0.5971
Dy2 0.6250 0.3750 0.7500
Si10 0.0000 0.5000 0.5000
Si11 0.0000 0.0000 0.5000
S17 0.9728 0.3757 0.2865
S18 0.2865 0.8757 0.9728
Dy3 0.1250 0.8750 0.7500
S19 0.8757 0.2865 0.4728
S20 0.5892 0.8757 0.4029
S21 0.5272 0.3137 0.9029
Si12 0.8750 0.6250 0.7500
S22 0.4029 0.3757 0.5892
S23 0.5971 0.9728 0.6863
Dy4 0.7500 0.3750 0.1250
Dy5 0.7500 0.8750 0.6250
S24 0.8757 0.5892 0.9029
Si13 0.5000 0.5000 0.0000
Si14 0.7500 0.1250 0.8750
Si15 0.5000 0.5000 0.5000
S25 0.3137 0.7865 0.4108
S26 0.9029 0.8137 0.5272
S27 0.2865 0.4108 0.8137
S28 0.1863 0.0892 0.7135
S29 0.4108 0.2865 0.3137
Si16 0.1250 0.3750 0.2500
S30 0.2135 0.6863 0.0892
S31 0.7135 0.5892 0.1863
Dy6 0.6250 0.2500 0.3750
S32 0.8137 0.9108 0.2865
S33 0.9108 0.0971 0.6243
S34 0.3757 0.4029 0.0892
S35 0.8137 0.9029 0.0272
Si17 0.5000 0.0000 0.5000
Dy7 0.1250 0.2500 0.8750
S36 0.9728 0.5971 0.1863
S37 0.2135 0.5272 0.6243
Si18 0.1250 0.7500 0.3750
S38 0.1863 0.0971 0.9728
Si19 0.7500 0.6250 0.3750
S39 0.5272 0.2135 0.1243
Dy8 0.2500 0.1250 0.3750
S40 0.0272 0.4029 0.8137
S41 0.4108 0.1243 0.5971
Dy9 0.3750 0.7500 0.6250
S42 0.0971 0.1863 0.4728
S43 0.3137 0.5272 0.4029
S44 0.0892 0.9029 0.3757
Dy10 0.8750 0.7500 0.1250
S45 0.4728 0.6863 0.0971
Dy11 0.2500 0.6250 0.8750
S46 0.9108 0.8137 0.7865
S47 0.7865 0.3137 0.9108
Si20 0.0000 0.0000 0.0000
Dy12 0.8750 0.1250 0.2500
S48 0.3757 0.9728 0.7865

---

# Nd5Ga2Au2 PBE optimized geometry
# DFT formation energy	-594	meV/atom
# space group	Cmce
# V	27.75	Å³/atom
# calculated total energy	-41.80	eV/f.u.
data_Nd5Ga2Au2
_cell_length_a 7.8392
_cell_length_b 7.7993
_cell_length_c 9.0608
_cell_angle_alpha 90.00
_cell_angle_beta 64.37
_cell_angle_gamma 90.00
_space_group_name_H-M_alt 'P 1'
_space_group_IT_number 1
loop_
_space_group_symop_operation_xyz
'x,y,z'
loop_
_atom_site_label
_atom_site_fract_x
_atom_site_fract_y
_atom_site_fract_z
Nd1 0.0000 0.0000 0.0000
Ga1 0.1179 0.3833 0.0000
Nd2 0.1813 0.1717 0.2796
Nd3 0.4609 0.1717 0.7204
Nd4 0.3187 0.6717 0.7204
Nd5 0.6813 0.3283 0.2796
Au1 0.2081 0.0000 0.5838
Ga2 0.3821 0.8833 0.0000
Nd6 0.5000 0.5000 0.0000
Nd7 0.5391 0.8283 0.2796
Ga3 0.6179 0.1167 0.0000
Nd8 0.0391 0.6717 0.2796
Ga4 0.8821 0.6167 0.0000
Nd9 0.9609 0.3283 0.7204
Au2 0.2919 0.5000 0.4162
Nd10 0.8187 0.8283 0.7204
Au3 0.7081 0.5000 0.5838
Au4 0.7919 0.0000 0.4162

---

# Rb2CrBi PBE optimized geometry
# DFT formation energy	305	meV/atom
# space group	I-42d
# V	62.80	Å³/atom
# calculated total energy	-14.22	eV/f.u.
data_Rb2CrBi
_cell_length_a 13.7927
_cell_length_b 13.7927
_cell_length_c 10.1041
_cell_angle_alpha 46.96
_cell_angle_beta 46.96
_cell_angle_gamma 90.00
_space_group_name_H-M_alt 'P 1'
_space_group_IT_number 1
loop_
_space_group_symop_operation_xyz
'x,y,z'
loop_
_atom_site_label
_atom_site_fract_x
_atom_site_fract_y
_atom_site_fract_z
Bi1 0.0000 0.0000 0.0000
Rb1 0.8750 0.6769 0.7500
Rb2 0.4269 0.1250 0.2500
Bi2 0.7500 0.2500 0.5000
Cr1 0.5000 0.5000 0.0000
Rb3 0.3231 0.6250 0.2500
Cr2 0.2500 0.7500 0.5000
Rb4 0.3750 0.5731 0.7500

---

# Nd3Sm8Tm PBE optimized geometry
# DFT formation energy	28	meV/atom
# space group	P1
# V	34.13	Å³/atom
# calculated total energy	-56.19	eV/f.u.
data_Nd3Sm8Tm
_cell_length_a 8.6393
_cell_length_b 8.6221
_cell_length_c 8.6425
_cell_angle_alpha 94.70
_cell_angle_beta 100.90
_cell_angle_gamma 136.72
_space_group_name_H-M_alt 'P 1'
_space_group_IT_number 1
loop_
_space_group_symop_operation_xyz
'x,y,z'
loop_
_atom_site_label
_atom_site_fract_x
_atom_site_fract_y
_atom_site_fract_z
Sm1 0.1629 0.8302 0.3322
Nd1 0.8349 0.3338 0.5010
Sm2 0.1648 0.2486 0.4126
Tm1 0.8349 0.8337 0.0009
Nd2 0.5022 0.7519 0.2479
Sm3 0.1672 0.3321 0.8352
Sm4 0.4996 0.3324 0.1671
Sm5 0.1650 0.7521 0.9167
Sm6 0.8333 0.7525 0.5852
Sm7 0.8334 0.2485 0.0813
Nd3 0.5014 0.2539 0.7501
Sm8 0.5003 0.8304 0.6698

---

# Mg2Al2Zn PBE optimized geometry
# DFT formation energy	22	meV/atom
# space group	C2/c
# V	19.74	Å³/atom
# calculated total energy	-11.84	eV/f.u.
# polymorph energy (0 for the lowest one)	0	meV per atom
data_Mg2Al2Zn
_cell_length_a 4.9938
_cell_length_b 7.0109
_cell_length_c 7.8914
_cell_angle_alpha 116.38
_cell_angle_beta 122.71
_cell_angle_gamma 90.00
_space_group_name_H-M_alt 'P 1'
_space_group_IT_number 1
loop_
_space_group_symop_operation_xyz
'x,y,z'
loop_
_atom_site_label
_atom_site_fract_x
_atom_site_fract_y
_atom_site_fract_z
Al1 0.8504 0.7853 0.3970
Mg1 0.8307 0.0612 0.8014
Zn1 0.2500 0.5049 0.0000
Al2 0.6496 0.3883 0.6030
Al3 0.3504 0.6117 0.3970
Mg2 0.1693 0.9388 0.1986
Mg3 0.3307 0.7401 0.8014
Zn2 0.7500 0.4951 0.0000
Mg4 0.6693 0.2599 0.1986
Al4 0.1496 0.2147 0.6030

---

# CuTc6Ge8 PBE optimized geometry
# DFT formation energy	31	meV/atom
# space group	P-3
# V	16.93	Å³/atom
# calculated total energy	-102.77	eV/f.u.
data_CuTc6Ge8
_cell_length_a 3.1058
_cell_length_b 9.7167
_cell_length_c 9.7167
_cell_angle_alpha 120.00
_cell_angle_beta 90.00
_cell_angle_gamma 90.00
_space_group_name_H-M_alt 'P 1'
_space_group_IT_number 1
loop_
_space_group_symop_operation_xyz
'x,y,z'
loop_
_atom_site_label
_atom_site_fract_x
_atom_site_fract_y
_atom_site_fract_z
Cu1 0.5000 0.0000 0.0000
Ge1 0.2535 0.9303 0.2650
Ge2 0.2535 0.7350 0.6653
Ge3 0.7465 0.2650 0.3347
Ge4 0.2514 0.3333 0.6667
Ge5 0.7465 0.0697 0.7350
Tc1 0.2490 0.6299 0.1138
Ge6 0.7486 0.6667 0.3333
Tc2 0.7510 0.1138 0.4839
Tc3 0.7510 0.5161 0.6299
Ge7 0.7465 0.6653 0.9303
Tc4 0.2490 0.4839 0.3701
Ge8 0.2535 0.3347 0.0697
Tc5 0.2490 0.8862 0.5161
Tc6 0.7510 0.3701 0.8862

---

# TmCdCu6 PBE optimized geometry
# DFT formation energy	18	meV/atom
# space group	Pm-3
# V	15.10	Å³/atom
# calculated total energy	-29.82	eV/f.u.
data_TmCdCu6
_cell_length_a 4.9434
_cell_length_b 4.9434
_cell_length_c 4.9434
_cell_angle_alpha 90.00
_cell_angle_beta 90.00
_cell_angle_gamma 90.00
_space_group_name_H-M_alt 'P 1'
_space_group_IT_number 1
loop_
_space_group_symop_operation_xyz
'x,y,z'
loop_
_atom_site_label
_atom_site_fract_x
_atom_site_fract_y
_atom_site_fract_z
Cu1 0.5000 0.7530 0.0000
Cu2 0.7530 0.0000 0.5000
Cu3 0.0000 0.5000 0.7530
Cd1 0.0000 0.0000 0.0000
Cu4 0.5000 0.2470 0.0000
Cu5 0.0000 0.5000 0.2470
Tm1 0.5000 0.5000 0.5000
Cu6 0.2470 0.0000 0.5000

---

# La5Bi4C PBE optimized geometry
# DFT formation energy	-701	meV/atom
# space group	I4
# V	33.51	Å³/atom
# calculated total energy	-56.40	eV/f.u.
data_La5Bi4C
_cell_length_a 6.6028
_cell_length_b 7.8515
_cell_length_c 7.8515
_cell_angle_alpha 79.82
_cell_angle_beta 65.14
_cell_angle_gamma 65.14
_space_group_name_H-M_alt 'P 1'
_space_group_IT_number 1
loop_
_space_group_symop_operation_xyz
'x,y,z'
loop_
_atom_site_label
_atom_site_fract_x
_atom_site_fract_y
_atom_site_fract_z
Bi1 0.4211 0.3934 0.7710
La1 0.4367 0.0000 0.0000
La2 0.0917 0.6542 0.1607
Bi2 0.5856 0.6066 0.2290
La3 0.2524 0.8393 0.6542
C1 0.0635 0.0000 0.0000
Bi3 0.1922 0.2290 0.3934
Bi4 0.8146 0.7710 0.6066
La4 0.9066 0.3458 0.8393
La5 0.7459 0.1607 0.3458